A geometry-optimized KTmSb2 structure, computed with PBE.

## Properties
- energy relative to the lowest polymorph listed for this composition (meV/atom) = 0

Cell: 4.063 4.063 7.648 Å, 90.00 90.00 90.00°
Space group P4/mmm (No. 123)
Asymmetric unit:
K (0.000, 0.000, 0.000) [1 per cell]
Tm (0.000, 0.000, 0.500) [1 per cell]
Sb (0.500, 0.500, 0.306) [2 per cell]


A geometry-optimized Si2As structure, computed with PBE.

## Properties
- energy relative to the lowest polymorph listed for this composition (meV/atom) = 348

Cell: 3.227 3.227 9.448 Å, 90.00 90.00 90.00°
Space group I4/mmm (No. 139)
Asymmetric unit:
Si (0.000, 0.000, 0.186) [4 per cell]
As (0.000, 0.000, 0.500) [2 per cell]


A geometry-optimized LiPrPuN3 structure, computed with PBE.

## Properties
- electronic total energy (eV/atom) = -8.6345

Cell: 7.016 3.518 7.156 Å, 90.00 104.90 90.00°
Space group P2_1/m (No. 11)
Asymmetric unit:
Li (0.086, 0.250, 0.075) [2 per cell]
Pr (0.276, 0.750, 0.813) [2 per cell]
Pu (0.329, 0.750, 0.323) [2 per cell]
N (0.034, 0.750, 0.208) [2 per cell]
N (0.365, 0.250, 0.118) [2 per cell]
N (0.368, 0.250, 0.577) [2 per cell]


A geometry-optimized Sb3RhBr structure, computed with PBE.

## Properties
- energy relative to the lowest polymorph listed for this composition (meV/atom) = 1115

Cell: 5.343 5.343 5.343 Å, 90.00 90.00 90.00°
Space group Pm-3m (No. 221)
Asymmetric unit:
Sb (0.000, 0.000, 0.500) [3 per cell]
Rh (0.500, 0.500, 0.500) [1 per cell]
Br (0.000, 0.000, 0.000) [1 per cell]